Below is crystalline GaTe3Br at its relaxed geometry, with properties calculated at the PBEsol level.

## Properties
total magnetization = 0.001 μB per formula unit
formation energy from raw total energies = 0.654 eV/atom

a b c (Å): 5.5175 5.5175 5.5175
angles (deg): 90.00 90.00 90.00
Positions (direct):
Te: 0.0000 0.5000 0.0000
Te: 0.0000 0.0000 0.5000
Te: 0.5000 0.0000 0.0000
Br: 0.0000 0.0000 0.0000
Ga: 0.5000 0.5000 0.5000

=====

Below is crystalline MgGa2 at its relaxed geometry, with properties calculated at the PBEsol level.

## Properties
total magnetization = 0.000 μB per formula unit
calculated total energy = -2.88 eV per atom

a b c (Å): 3.1305 4.7120 7.6834
angles (deg): 90.00 101.75 90.00
Positions (direct):
Mg: 0.7855 0.5000 0.5710
Mg: 0.1077 0.5000 0.2154
Ga: 0.4467 0.5000 0.8934
Ga: 0.3334 0.0000 0.6667
Ga: 0.9927 0.0000 0.9854
Ga: 0.6673 0.0000 0.3347

=====

Look up the total magnetization of the first one.
0.001 μB per formula unit

=====

Copy entry 1 word for word.
Below is crystalline GaTe3Br at its relaxed geometry, with properties calculated at the PBEsol level.

## Properties
total magnetization = 0.001 μB per formula unit
formation energy from raw total energies = 0.654 eV/atom

a b c (Å): 5.5175 5.5175 5.5175
angles (deg): 90.00 90.00 90.00
Positions (direct):
Te: 0.0000 0.5000 0.0000
Te: 0.0000 0.0000 0.5000
Te: 0.5000 0.0000 0.0000
Br: 0.0000 0.0000 0.0000
Ga: 0.5000 0.5000 0.5000

=====

total magnetization of number 1 (GaTe3Br)?
0.001 μB per formula unit